VASP calculation (meta-GGA SCAN) on TaBe2W at its PBEsol-relaxed geometry.

abc: 9.1851 2.5895 4.4513
angles: 90.00 107.50 90.00
Closest atoms and distances in Å follow each position.
Space group Cm (No. 8)
Unique sites:
Ta1 0.0000 0.0000 0.0000 [2 per cell]  7 Be 2.56-2.64, 2 Ta 2.59, 1 W 2.80
Be1 0.0515 0.5000 0.5248 [2 per cell]  2 Be 2.24
Be2 0.2398 0.0000 0.8182 [2 per cell]  2 Be 2.24
W1 0.2936 0.5000 0.3523 [2 per cell]  7 Be 2.56-2.62, 2 W 2.59, 1 Ta 2.80

Output
The calculation puts the volume at 100.97 Å³/cell. The energy relative to the elements comes out at 0.46 eV per formula unit. The value obtained for the energy relative to the lowest polymorph listed for this composition is 291 meV per atom. As for the total magnetization: 0.00 Bohr magnetons per cell.

VASP calculation (meta-GGA SCAN) on SrOs3 at its PBEsol-relaxed geometry.

abc: 2.7925 9.6991 4.9704
angles: 90.00 90.00 90.00
Closest atoms and distances in Å follow each position.
Space group Imm2 (No. 44)
Unique sites:
Sr1 0.0000 0.0000 0.0000 [2 per cell]  10 Os 2.79-3.07, 2 Sr 2.79
Os1 0.0000 0.2222 0.4005 [4 per cell]  8 Os 2.63-2.90, 1 Sr 2.93
Os2 0.0000 0.5000 0.0140 [2 per cell]  6 Os 2.63-2.79, 4 Sr 2.79-2.91

Output
The calculation puts the volume at 134.62 Å³/cell. The energy relative to the elements comes out at 3.56 eV per formula unit. As for the total magnetization: 0.00 Bohr magnetons per cell.

VASP calculation (meta-GGA SCAN) on Sc4FeP at its PBEsol-relaxed geometry.

abc: 7.7266 7.7266 7.7266
angles: 90.00 90.00 90.00
Closest atoms and distances in Å follow each position.
Space group F-43m (No. 216)
Unique sites:
Sc1 0.1254 0.1254 0.1254 [16 per cell]  6 Sc 2.72-2.74
Fe1 0.0000 0.0000 0.5000 [4 per cell]  12 Sc 3.20, 4 P 3.35
P1 0.2500 0.2500 0.7500 [4 per cell]  12 Sc 3.20, 4 Fe 3.35

Output
The calculation puts the volume at 461.28 Å³/cell. The energy relative to the elements comes out at 3.25 eV per formula unit. As for the total magnetization: 10.16 Bohr magnetons per cell.

VASP calculation (meta-GGA SCAN) on CaSc2TiFe at its PBEsol-relaxed geometry.

abc: 4.7361 4.7361 5.1713
angles: 90.00 90.00 90.00
Closest atoms and distances in Å follow each position.
Space group P4/mmm (No. 123)
Unique sites:
Ca1 0.0000 0.0000 0.0000 [1 per cell]  2 Fe 2.59
Sc1 0.0000 0.5000 0.5000 [2 per cell]  2 Fe 2.37
Ti1 0.5000 0.5000 0.0000 [1 per cell]  4 Ca 3.35, 8 Sc 3.51
Fe1 0.0000 0.0000 0.5000 [1 per cell]  4 Sc 2.37, 2 Ca 2.59

Output
The calculation puts the volume at 115.99 Å³/cell. The energy relative to the elements comes out at 2.87 eV per formula unit. As for the total magnetization: 2.85 Bohr magnetons per cell.

VASP calculation (meta-GGA SCAN) on Al2AsCl at its PBEsol-relaxed geometry.

abc: 3.8434 3.8434 19.2302
angles: 90.00 90.00 120.00
Closest atoms and distances in Å follow each position.
Space group R-3m (No. 166, hexagonal axes)
Unique sites:
Al1 0.0000 0.0000 0.2374 [6 per cell]  3 As 2.60, 3 Cl 2.89
As1 0.0000 0.0000 0.5000 [3 per cell]  6 Al 2.60
Cl1 0.0000 0.0000 0.0000 [3 per cell]  6 Al 2.89

Output
The calculation puts the volume at 246.01 Å³/cell. The calculation puts the formation energy without anion corrections at -21.1 kJ/mol of atoms. As for the total magnetization: 0.00 Bohr magnetons per cell.

VASP calculation (meta-GGA SCAN) on Ca2Cu at its PBEsol-relaxed geometry.

abc: 7.9160 7.9160 4.4815
angles: 90.00 90.00 120.00
Closest atoms and distances in Å follow each position.
Space group P-62m (No. 189)
Unique sites:
Ca1 0.0000 0.2576 0.0000 [3 per cell]  4 Cu 2.98-3.03
Ca2 0.0000 0.5921 0.5000 [3 per cell]  5 Cu 3.23-3.28, 6 Ca 3.47-3.61
Cu1 0.0000 0.0000 0.5000 [1 per cell]  9 Ca 3.03-3.23
Cu2 0.3333 0.6667 0.0000 [2 per cell]  9 Ca 2.98-3.28

Output
The calculation puts the volume at 243.20 Å³/cell. The energy relative to the elements comes out at -0.08 eV per formula unit. As for the total magnetization: 0.00 Bohr magnetons per cell.

VASP calculation (meta-GGA SCAN) on ZnInFe2 at its PBEsol-relaxed geometry.

abc: 3.7590 3.7590 3.9036
angles: 90.00 90.00 90.00
Closest atoms and distances in Å follow each position.
Space group P4/mmm (No. 123)
Unique sites:
Zn1 0.0000 0.0000 0.0000 [1 per cell]  4 In 2.66, 8 Fe 2.71
In1 0.5000 0.5000 0.0000 [1 per cell]  4 Zn 2.66, 8 Fe 2.71
Fe1 0.0000 0.5000 0.5000 [2 per cell]  4 Fe 2.66, 4 In 2.71, 4 Zn 2.71

Output
The calculation puts the volume at 55.16 Å³/cell. The energy relative to the elements comes out at 0.42 eV per formula unit. As for the total magnetization: 5.27 Bohr magnetons per cell.

VASP calculation (meta-GGA SCAN) on CsP3W at its PBEsol-relaxed geometry.

abc: 4.7954 4.7954 4.7954
angles: 90.00 90.00 90.00
Closest atoms and distances in Å follow each position.
Space group Pm-3m (No. 221)
Unique sites:
Cs1 0.0000 0.0000 0.0000 [1 per cell]  12 P 3.39
P1 0.0000 0.5000 0.5000 [3 per cell]  2 W 2.40
W1 0.5000 0.5000 0.5000 [1 per cell]  6 P 2.40

Output
The calculation puts the volume at 110.27 Å³/cell. The energy relative to the elements comes out at 0.85 eV per formula unit. As for the total magnetization: 0.00 Bohr magnetons per cell.

VASP calculation (meta-GGA SCAN) on SrHgCl2 at its PBEsol-relaxed geometry.

abc: 7.5511 4.3597 8.8866
angles: 90.00 106.02 90.00
Closest atoms and distances in Å follow each position.
Space group C2/m (No. 12)
Unique sites:
Sr1 0.0000 0.0000 0.0000 [2 per cell]  6 Cl 2.88
Hg1 0.0000 0.5000 0.5000 [2 per cell]  6 Cl 3.80-3.84
Cl1 0.2195 0.5000 0.1628 [4 per cell]  3 Sr 2.88

Output
The calculation puts the volume at 281.19 Å³/cell. The value obtained for the energy relative to the lowest polymorph listed for this composition is 0 meV per atom. The calculation puts the formation energy without anion corrections at -188.5 kJ/mol of atoms. As for the total magnetization: 0.00 Bohr magnetons per cell.

VASP calculation (meta-GGA SCAN) on TiCd2Os at its PBEsol-relaxed geometry.

abc: 6.4330 6.4330 6.4330
angles: 90.00 90.00 90.00
Closest atoms and distances in Å follow each position.
Space group Fm-3m (No. 225)
Unique sites:
Ti1 0.0000 0.0000 0.0000 [4 per cell]  8 Cd 2.79
Cd1 0.2500 0.2500 0.2500 [8 per cell]  4 Os 2.79, 4 Ti 2.79
Os1 0.0000 0.0000 0.5000 [4 per cell]  8 Cd 2.79

Output
The calculation puts the volume at 266.22 Å³/cell. The energy relative to the elements comes out at 1.40 eV per formula unit. As for the total magnetization: 0.00 Bohr magnetons per cell.

VASP calculation (meta-GGA SCAN) on Ca3TeP at its PBEsol-relaxed geometry.

abc: 5.3768 5.3768 5.3768
angles: 90.00 90.00 90.00
Closest atoms and distances in Å follow each position.
Space group Pm-3m (No. 221)
Unique sites:
Ca1 0.0000 0.0000 0.5000 [3 per cell]  2 P 2.69
Te1 0.5000 0.5000 0.5000 [1 per cell]  12 Ca 3.80
P1 0.0000 0.0000 0.0000 [1 per cell]  6 Ca 2.69

Output
The calculation puts the volume at 155.45 Å³/cell. The value obtained for the energy relative to the lowest polymorph listed for this composition is 0 meV per atom. The calculation puts the formation energy without anion corrections at -105.1 kJ/mol of atoms. As for the total magnetization: 0.72 Bohr magnetons per cell.

VASP calculation (meta-GGA SCAN) on Na2CuP2O7 at its PBEsol-relaxed geometry.

abc: 14.6225 5.7763 7.9793
angles: 90.00 114.48 90.00
Closest atoms and distances in Å follow each position.
Space group C2/c (No. 15)
Unique sites:
Na1 0.2278 0.1395 0.2989 [8 per cell]  5 O 2.31-2.51
Cu1 0.0000 0.0000 0.0000 [4 per cell]  4 O 1.91-1.97
P1 0.1049 0.3404 0.8434 [8 per cell]  4 O 1.51-1.62
O1 0.0000 0.4819 0.7500 [4 per cell]  2 P 1.62
O2 0.1014 0.2139 0.0104 [8 per cell]  1 P 1.54
O3 0.1084 0.1686 0.6970 [8 per cell]  1 P 1.55
O4 0.1895 0.4870 0.3984 [8 per cell]  1 P 1.51

Output
The calculation puts the volume at 613.36 Å³/cell. The value obtained for the energy relative to the lowest polymorph listed for this composition is 0 meV per atom. The calculation puts the formation energy without anion corrections at -215.3 kJ/mol of atoms. As for the total magnetization: 4.00 Bohr magnetons per cell.